Arrangement P

Here is a relaxed ScMo3C crystal from Alexandria. Energies are from GGA-PBEsol.

Computed properties:
**Total moment**: 0.000 μB per atom

a b c (Å): 4.1862 4.1862 4.1862
angles (deg): 90.00 90.00 90.00
Last column: nearest neighbours and their distance in Å.
Space group Pm-3m (No. 221)
Inequivalent atoms, fractional coordinates:
1 Sc 0.0000 0.0000 0.0000 [1 per cell]  12 Mo 2.96
2 Mo 0.0000 0.5000 0.5000 [3 per cell]  2 C 2.09
3 C 0.5000 0.5000 0.5000 [1 per cell]  6 Mo 2.09

***

Arrangement Q

Here is a relaxed ScMo3C crystal from Alexandria. Energies are from GGA-PBEsol.

Computed properties:
**Total moment**: 0.000 μB per atom

a b c (Å): 4.4825 4.4825 4.4825
angles (deg): 90.00 90.00 90.00
Last column: nearest neighbours and their distance in Å.
Space group Pm-3m (No. 221)
Inequivalent atoms, fractional coordinates:
1 Sc 0.0000 0.0000 0.0000 [1 per cell]  6 Mo 2.24
2 Mo 0.0000 0.0000 0.5000 [3 per cell]  2 Sc 2.24
3 C 0.5000 0.5000 0.5000 [1 per cell]  12 Mo 3.17

***

Name the most stable of them. arrangement P.

***

Arrangement P

Here is a relaxed SiMoC3 crystal from Alexandria. Energies are from GGA-PBEsol.

Computed properties:
**Total moment**: 0.001 μB per atom

a b c (Å): 3.6616 3.6616 3.6616
angles (deg): 90.00 90.00 90.00
Last column: nearest neighbours and their distance in Å.
Space group Pm-3m (No. 221)
Inequivalent atoms, fractional coordinates:
1 Si 0.0000 0.0000 0.0000 [1 per cell]  6 C 1.83
2 Mo 0.5000 0.5000 0.5000 [1 per cell]  12 C 2.59
3 C 0.0000 0.0000 0.5000 [3 per cell]  2 Si 1.83

***

Arrangement Q

Here is a relaxed SiMoC3 crystal from Alexandria. Energies are from GGA-PBEsol.

Computed properties:
**Total moment**: 0.000 μB per atom

a b c (Å): 4.0421 4.0421 4.0421
angles (deg): 90.00 90.00 90.00
Last column: nearest neighbours and their distance in Å.
Space group Pm-3m (No. 221)
Inequivalent atoms, fractional coordinates:
1 Si 0.0000 0.0000 0.0000 [1 per cell]  12 C 2.86
2 Mo 0.5000 0.5000 0.5000 [1 per cell]  6 C 2.02
3 C 0.0000 0.5000 0.5000 [3 per cell]  2 Mo 2.02

***

Name the most stable of them. arrangement P.

***

Arrangement P

Here is a relaxed TaMoC crystal from Alexandria. Energies are from GGA-PBEsol.

Computed properties:
**Total moment**: 0.000 μB per atom

a b c (Å): 2.7564 2.7564 9.8505
angles (deg): 90.00 90.00 90.00
Last column: nearest neighbours and their distance in Å.
Space group I4mm (No. 107)
Inequivalent atoms, fractional coordinates:
1 Ta 0.0000 0.0000 0.0000 [2 per cell]  4 C 2.43, 1 Mo 2.58
2 Mo 0.0000 0.0000 0.2621 [2 per cell]  4 C 2.26
3 C 0.0000 0.0000 0.6469 [2 per cell]  4 Mo 2.26, 4 Ta 2.43

***

Arrangement Q

Here is a relaxed TaMoC crystal from Alexandria. Energies are from GGA-PBEsol.

Computed properties:
**Total moment**: 0.000 μB per atom

a b c (Å): 5.3829 5.3829 5.3829
angles (deg): 90.00 90.00 90.00
Last column: nearest neighbours and their distance in Å.
Space group F-43m (No. 216)
Inequivalent atoms, fractional coordinates:
1 Ta 0.0000 0.0000 0.0000 [4 per cell]  4 C 2.33
2 Mo 0.0000 0.0000 0.5000 [4 per cell]  4 C 2.33
3 C 0.2500 0.2500 0.2500 [4 per cell]  4 Ta 2.33, 4 Mo 2.33

***

Arrangement R

Here is a relaxed TaMoC crystal from Alexandria. Energies are from GGA-PBEsol.

Computed properties:
**Total moment**: 0.000 μB per atom

a b c (Å): 3.0777 3.0777 4.7244
angles (deg): 90.00 90.00 120.00
Last column: nearest neighbours and their distance in Å.
Space group P3m1 (No. 156)
Inequivalent atoms, fractional coordinates:
1 Ta 0.0000 0.0000 0.0000 [1 per cell]  3 C 2.16
2 Mo 0.6667 0.3333 0.4983 [1 per cell]  3 C 2.11
3 C 0.3333 0.6667 0.7386 [1 per cell]  3 Mo 2.11, 3 Ta 2.16

***

Name the most stable of them. arrangement R.

***

Arrangement P

Here is a relaxed MoWC2 crystal from Alexandria. Energies are from GGA-PBEsol.

Computed properties:
**Total moment**: 0.000 μB per atom

a b c (Å): 2.9368 5.1370 5.9820
angles (deg): 90.00 90.00 90.00
Last column: nearest neighbours and their distance in Å.
Space group Cmmm (No. 65)
Inequivalent atoms, fractional coordinates:
1 Mo 0.0000 0.0000 0.0000 [2 per cell]  4 C 2.09
2 W 0.0000 0.0000 0.5000 [2 per cell]  4 C 2.10
3 C 0.0000 0.5000 0.2495 [4 per cell]  2 Mo 2.09, 2 W 2.10

***

Arrangement Q

Here is a relaxed MoWC2 crystal from Alexandria. Energies are from GGA-PBEsol.

Computed properties:
**Total moment**: 0.000 μB per atom

a b c (Å): 2.8166 2.8952 5.0214
angles (deg): 90.00 90.00 90.00
Last column: nearest neighbours and their distance in Å.
Space group Pmm2 (No. 25)
Inequivalent atoms, fractional coordinates:
1 Mo 0.0000 0.0000 0.0000 [1 per cell]  6 C 2.19
2 W 0.0000 0.5000 0.5010 [1 per cell]  6 C 2.18-2.19
3 C 0.5000 0.0000 0.3342 [1 per cell]  4 W 2.19, 2 Mo 2.19
4 C 0.5000 0.5000 0.8328 [1 per cell]  2 W 2.18, 4 Mo 2.19

***

Arrangement R

Here is a relaxed MoWC2 crystal from Alexandria. Energies are from GGA-PBEsol.

Computed properties:
**Total moment**: 0.000 μB per atom

a b c (Å): 2.8546 2.8619 10.0265
angles (deg): 90.00 90.00 90.00
Last column: nearest neighbours and their distance in Å.
Space group Imm2 (No. 44)
Inequivalent atoms, fractional coordinates:
1 Mo 0.0000 0.0000 0.0000 [2 per cell]  6 C 2.18-2.21
2 W 0.0000 0.5000 0.7496 [2 per cell]  6 C 2.18-2.20
3 C 0.0000 0.0000 0.5827 [2 per cell]  4 Mo 2.18, 2 W 2.20
4 C 0.0000 0.5000 0.3319 [2 per cell]  4 W 2.18, 2 Mo 2.21

***

Name the most stable of them. arrangement Q.

***

Arrangement P

Here is a relaxed NaCN crystal from Alexandria. Energies are from GGA-PBEsol.

Computed properties:
**Total moment**: 0.000 μB per atom

a b c (Å): 3.5847 5.4098 4.8518
angles (deg): 90.00 90.00 90.00
Last column: nearest neighbours and their distance in Å.
Space group Pmmn (No. 59, origin choice 2)
Inequivalent atoms, fractional coordinates:
1 Na 0.2500 0.2500 0.2191 [2 per cell]  4 N 2.48-2.74, 2 C 2.66
2 C 0.2500 0.7500 0.3765 [2 per cell]  1 N 1.18
3 N 0.2500 0.7500 0.1335 [2 per cell]  1 C 1.18

***

Arrangement Q

Here is a relaxed NaCN crystal from Alexandria. Energies are from GGA-PBEsol.

Computed properties:
**Total moment**: 0.000 μB per atom

a b c (Å): 3.5786 5.4799 4.8434
angles (deg): 90.00 90.00 90.00
Last column: nearest neighbours and their distance in Å.
Space group Imm2 (No. 44)
Inequivalent atoms, fractional coordinates:
1 Na 0.0000 0.0000 0.0000 [2 per cell]  2 N 2.48, 2 C 2.65
2 C 0.0000 0.5000 0.9024 [2 per cell]  1 N 1.18
3 N 0.0000 0.5000 0.1457 [2 per cell]  1 C 1.18

***

Name the most stable of them. arrangement P.

***

Arrangement P

Here is a relaxed Tc2CN crystal from Alexandria. Energies are from GGA-PBEsol.

Computed properties:
**Total moment**: 0.162 μB per atom

a b c (Å): 4.5195 4.5195 9.1556
angles (deg): 90.00 90.00 90.00
Last column: nearest neighbours and their distance in Å.
Space group I-42d (No. 122)
Inequivalent atoms, fractional coordinates:
1 Tc 0.2445 0.2500 0.1250 [8 per cell]  2 N 1.95, 2 C 1.98
2 C 0.0000 0.0000 0.5000 [4 per cell]  4 Tc 1.98
3 N 0.0000 0.0000 0.0000 [4 per cell]  4 Tc 1.95

***

Arrangement Q

Here is a relaxed Tc2CN crystal from Alexandria. Energies are from GGA-PBEsol.

Computed properties:
**Total moment**: 0.000 μB per atom

a b c (Å): 5.2758 5.2758 5.2758
angles (deg): 90.00 90.00 90.00
Last column: nearest neighbours and their distance in Å.
Space group Fm-3m (No. 225)
Inequivalent atoms, fractional coordinates:
1 Tc 0.2500 0.2500 0.2500 [8 per cell]  4 C 2.28, 4 N 2.28
2 C 0.0000 0.0000 0.0000 [4 per cell]  8 Tc 2.28
3 N 0.0000 0.0000 0.5000 [4 per cell]  8 Tc 2.28

***

Name the most stable of them. arrangement P.

***

Arrangement P

Here is a relaxed Na2NiPCO7 crystal from Alexandria. Energies are from GGA-PBEsol.

Computed properties:
**Total moment**: 0.084 μB per atom

a b c (Å): 8.8977 6.3029 10.0848
angles (deg): 90.00 91.15 90.00
Last column: nearest neighbours and their distance in Å.
Space group Pc (No. 7)
Inequivalent atoms, fractional coordinates:
1 Na 0.0000 0.0134 0.0000 [2 per cell]  6 O 2.36-2.65
2 Na 0.3410 0.2719 0.9848 [2 per cell]  6 O 2.29-2.56
3 Na 0.3437 0.2600 0.4852 [2 per cell]  6 O 2.29-2.55
4 Na 0.8197 0.2308 0.7313 [2 per cell]  5 O 2.23-2.43
5 Ni 0.4347 0.0032 0.2195 [2 per cell]  5 O 1.88-2.03
6 Ni 0.7456 0.4956 0.4937 [2 per cell]  6 O 1.88-1.98
7 P 0.5175 0.4979 0.2488 [2 per cell]  4 O 1.52-1.58
8 P 0.6611 0.0031 0.9572 [2 per cell]  4 O 1.53-1.56
9 C 0.0054 0.4895 0.4581 [2 per cell]  3 O 1.25-1.32
10 C 0.1608 0.0093 0.7488 [2 per cell]  3 O 1.26-1.32
11 O 0.0199 0.0201 0.7486 [2 per cell]  1 C 1.26
12 O 0.1449 0.4908 0.4465 [2 per cell]  1 C 1.25
13 O 0.2353 0.0012 0.6374 [2 per cell]  1 C 1.32
14 O 0.2446 0.0046 0.8552 [2 per cell]  1 C 1.29
15 O 0.4110 0.3083 0.2177 [2 per cell]  1 P 1.55
16 O 0.4164 0.3058 0.7187 [2 per cell]  1 P 1.56
17 O 0.5131 0.0115 0.0317 [2 per cell]  1 P 1.53
18 O 0.5551 0.4948 0.4023 [2 per cell]  1 P 1.58
19 O 0.6240 0.0080 0.3057 [2 per cell]  1 P 1.56
20 O 0.6625 0.4971 0.1709 [2 per cell]  1 P 1.52
21 O 0.7636 0.1837 0.5032 [2 per cell]  1 P 1.55
22 O 0.7683 0.1948 0.9802 [2 per cell]  1 P 1.55
23 O 0.9056 0.4863 0.3618 [2 per cell]  1 C 1.30
24 O 0.9384 0.4933 0.5732 [2 per cell]  1 C 1.32

***

Arrangement Q

Here is a relaxed Na2NiPCO7 crystal from Alexandria. Energies are from GGA-PBEsol.

Computed properties:
**Total moment**: 0.084 μB per atom

a b c (Å): 5.0789 6.4101 8.8279
angles (deg): 90.00 91.57 90.00
Last column: nearest neighbours and their distance in Å.
Space group P2_1/m (No. 11)
Inequivalent atoms, fractional coordinates:
1 Na 0.2337 0.0130 0.2538 [4 per cell]  5 O 2.26-2.41
2 Ni 0.2236 0.2500 0.8498 [2 per cell]  6 O 1.88-2.05
3 P 0.2913 0.7500 0.9261 [2 per cell]  4 O 1.54-1.58
4 C 0.2843 0.2500 0.5821 [2 per cell]  3 O 1.24-1.32
5 O 0.0618 0.2500 0.6554 [2 per cell]  1 C 1.32
6 O 0.1498 0.7500 0.0776 [2 per cell]  1 P 1.54
7 O 0.2192 0.5585 0.8270 [4 per cell]  1 P 1.55
8 O 0.2939 0.2500 0.4415 [2 per cell]  1 C 1.24
9 O 0.4013 0.2500 0.0414 [2 per cell]  1 P 1.58
10 O 0.4850 0.2500 0.6766 [2 per cell]  1 C 1.30

***

Name the most stable of them. arrangement Q.

***

Arrangement P

Here is a relaxed Na3SnPCO7 crystal from Alexandria. Energies are from GGA-PBEsol.

Computed properties:
**Total moment**: 0.000 μB per atom

a b c (Å): 5.3823 6.9660 9.3876
angles (deg): 90.00 94.53 90.00
Last column: nearest neighbours and their distance in Å.
Space group P2_1/m (No. 11)
Inequivalent atoms, fractional coordinates:
1 Na 0.2183 0.2500 0.4125 [2 per cell]  4 O 2.33-2.51
2 Na 0.2561 0.5006 0.7551 [4 per cell]  5 O 2.29-2.56
3 Sn 0.2275 0.7500 0.1307 [2 per cell]  4 O 2.20-2.35
4 P 0.2525 0.2500 0.1060 [2 per cell]  4 O 1.53-1.58
5 C 0.2537 0.7500 0.4403 [2 per cell]  3 O 1.28-1.32
6 O 0.0592 0.7500 0.3455 [2 per cell]  1 C 1.32
7 O 0.1412 0.0733 0.1804 [4 per cell]  1 P 1.56
8 O 0.1713 0.2500 0.9411 [2 per cell]  1 P 1.58
9 O 0.2162 0.7500 0.5735 [2 per cell]  1 C 1.28
10 O 0.4635 0.7500 0.8709 [2 per cell]  1 P 1.53
11 O 0.4763 0.7500 0.3965 [2 per cell]  1 C 1.30

***

Arrangement Q

Here is a relaxed Na3SnPCO7 crystal from Alexandria. Energies are from GGA-PBEsol.

Computed properties:
**Total moment**: 0.000 μB per atom

a b c (Å): 5.4716 6.8682 9.2663
angles (deg): 90.00 96.49 90.00
Last column: nearest neighbours and their distance in Å.
Space group P2_1 (No. 4)
Inequivalent atoms, fractional coordinates:
1 Na 0.0087 0.0000 0.0200 [2 per cell]  6 O 2.35-2.53
2 Na 0.4764 0.7533 0.8600 [2 per cell]  4 O 2.27-2.47
3 Na 0.4900 0.9459 0.4959 [2 per cell]  4 O 2.34-2.41
4 Sn 0.0686 0.1878 0.6667 [2 per cell]  5 O 2.24-2.45
5 P 0.0022 0.2190 0.3060 [2 per cell]  4 O 1.53-1.57
6 C 0.4878 0.7061 0.1611 [2 per cell]  3 O 1.27-1.31
7 O 0.1221 0.2915 0.1741 [2 per cell]  1 P 1.53
8 O 0.1377 0.5252 0.7316 [2 per cell]  1 P 1.56
9 O 0.1995 0.8652 0.6533 [2 per cell]  1 P 1.57
10 O 0.2061 0.1986 0.4378 [2 per cell]  1 P 1.56
11 O 0.2829 0.7418 0.0865 [2 per cell]  1 C 1.27
12 O 0.3219 0.1488 0.9010 [2 per cell]  1 C 1.31
13 O 0.4778 0.2248 0.6971 [2 per cell]  1 C 1.31

***

Name the most stable of them. arrangement Q.